(1)
A relaxed structure of Na3HgP, computed with PBEsol.

- Total energy: -2.265 eV per atom
- Spin magnetization: 0.00 μB per formula unit
- V: 31.1 A^3/atom
- ρ: 3.2 Mg/m³
- Space-group type: No. 221

Cell: 5.380 5.380 5.380 Å, 90.00 90.00 90.00°
Fractional positions:
Na1 0.000 0.000 0.500
Na2 0.000 0.500 0.000
Na3 0.500 0.000 0.000
Hg1 0.500 0.500 0.500
P1 0.000 0.000 0.000



(2)
A relaxed structure of Mn5Fe, computed with PBEsol.

- Total energy: -9.606 eV per atom
- Spin magnetization: 0.00 μB per formula unit
- V: 10.2 A^3/atom
- ρ: 9.0 Mg/m³
- Space-group type: No. 8

Cell: 4.626 4.626 5.785 Å, 103.87 103.87 30.59°
Fractional positions:
Mn1 0.000 0.000 0.000
Mn2 0.056 0.056 0.610
Mn3 0.330 0.330 0.665
Mn4 0.387 0.387 0.279
Mn5 0.721 0.721 0.946
Fe1 0.665 0.665 0.334



(3)
A relaxed structure of AsRuW2, computed with PBEsol.

- Total energy: -10.577 eV per atom
- Spin magnetization: 0.00 μB per formula unit
- V: 14.7 A^3/atom
- ρ: 15.4 Mg/m³
- Space-group type: No. 44

Cell: 5.205 5.205 5.205 Å, 146.94 129.69 61.53°
Fractional positions:
As1 0.000 0.000 0.000
Ru1 0.218 0.718 0.500
W1 0.482 0.482 0.000
W2 0.771 0.271 0.500



(4)
A relaxed structure of CaTaTe2, computed with PBEsol.

- Total energy: -5.880 eV per atom
- Spin magnetization: 0.71 μB per formula unit
- V: 25.7 A^3/atom
- ρ: 7.7 Mg/m³
- ΔE_f (raw): -1.78 eV/f.u.
- Space-group type: No. 166
- Polymorph energy (0 for the lowest one): 0.0719 eV/atom

Cell: 7.095 7.095 7.095 Å, 34.58 34.58 34.58°
Fractional positions:
Ca1 0.000 0.000 0.000
Ta1 0.500 0.500 0.500
Te1 0.239 0.239 0.239
Te2 0.761 0.761 0.761